1.
This record from Alexandria describes an optimized crystal structure of B3C7. The functional is PBE.

The formation enthalpy at 0 K is 352 meV/atom. The space group is Cm. For the magnetization, the calculation gives 0.00 μB per formula unit. As for the energy above the most stable polymorph in this dataset: 89.6 meV/atom. Its crystal system is monoclinic.

Cell lengths 4.5614, 4.5614, 6.5485 Å; angles 61.27, 61.27, 33.23 degrees
Positions (direct):
C 0.6075 0.6075 0.5942
C 0.9969 0.9969 0.2550
C 0.6032 0.6032 0.8298
C 0.3999 0.3999 0.3957
C 0.2024 0.2024 0.4502
C 0.7860 0.7860 0.8136
C 0.1982 0.1982 0.2188
B 0.7575 0.7575 0.0703
B 0.4076 0.4076 0.6372
B 0.0409 0.0409 0.9852


2.
This record from Alexandria describes an optimized crystal structure of BC. The functional is PBE.

The formation enthalpy at 0 K is 388 meV/atom. The space group is Pm. For the magnetization, the calculation gives 0.00 μB per formula unit. As for the energy above the most stable polymorph in this dataset: 237.5 meV/atom. Its crystal system is monoclinic.

Cell lengths 2.6276, 4.8680, 6.4321 Å; angles 94.40, 90.00, 90.00 degrees
Positions (direct):
B 0.0000 0.9418 0.2291
B 0.5000 0.5429 0.0022
B 0.0000 0.7705 0.7318
B 0.0000 0.2106 0.5266
B 0.5000 0.7582 0.3616
B 0.0000 0.0807 0.9750
C 0.0000 0.7425 0.9780
C 0.5000 0.8185 0.6087
C 0.5000 0.4506 0.2560
C 0.5000 0.2320 0.8905
C 0.0000 0.2913 0.2874
C 0.5000 0.1603 0.6532


3.
This record from Alexandria describes an optimized crystal structure of B7C5. The functional is PBE.

The formation enthalpy at 0 K is 411 meV/atom. The space group is P1. For the magnetization, the calculation gives 0.00 μB per formula unit. As for the energy above the most stable polymorph in this dataset: 246.2 meV/atom. Its crystal system is triclinic.

Cell lengths 4.6311, 4.5732, 4.4184 Å; angles 98.11, 100.54, 116.03 degrees
Positions (direct):
C 0.8236 0.1509 0.4940
C 0.5771 0.2286 0.6251
C 0.9778 0.9884 0.0154
C 0.8975 0.8990 0.6518
C 0.6910 0.0110 0.1312
B 0.2147 0.9018 0.5696
B 0.0598 0.6643 0.1495
B 0.1668 0.5020 0.5033
B 0.6315 0.3117 0.0021
B 0.3596 0.6819 0.9293
B 0.5708 0.5362 0.5304
B 0.2797 0.3742 0.1484


4.
This record from Alexandria describes an optimized crystal structure of BC. The functional is PBE.

The formation enthalpy at 0 K is 372 meV/atom. The space group is Cm. For the magnetization, the calculation gives 0.00 μB per formula unit. As for the energy above the most stable polymorph in this dataset: 221.6 meV/atom. Its crystal system is monoclinic.

Cell lengths 4.6705, 4.6705, 7.5983 Å; angles 112.96, 112.96, 33.29 degrees
Positions (direct):
C 0.8408 0.8408 0.5482
C 0.3436 0.3436 0.6689
C 0.8308 0.8308 0.0414
C 0.1595 0.1595 0.2108
C 0.9961 0.9961 0.5003
C 0.4882 0.4882 0.8585
B 0.2912 0.2912 0.1161
B 0.5301 0.5301 0.4277
B 0.9992 0.9992 0.0053
B 0.1689 0.1689 0.6868
B 0.6650 0.6650 0.8585
B 0.6867 0.6867 0.3274